Entry 1:
BaBeTc2: relaxed, PBE.

Its calculated formation energy is 1069 meV/atom. The crystal system is orthorhombic. The volume comes out at 21.3 A^3/atom. As for the total energy: -0.406 Ry/atom.

It has space group Imm2 (No. 44), with a = 3.195 Å, b = 5.676 Å, c = 9.378 Å, α = 90.00°, β = 90.00° and γ = 90.00°. The asymmetric unit holds Ba at (0.000, 0.000, 0.000), Be at (0.000, 0.500, 0.802), Tc at (0.000, 0.000, 0.498) and Tc at (0.000, 0.500, 0.189).

=====

Entry 2:
PmLu2Sn: relaxed, PBE.

Its calculated formation energy is -393 meV/atom. The crystal system is tetragonal. The volume comes out at 27.5 A^3/atom. For the energy above the lowest structure with this stoichiometry, the calculation gives 0.00 eV per formula unit. As for the total energy: -0.356 Ry/atom.

It has space group P4/mmm (No. 123), with a = 4.803 Å, b = 4.803 Å, c = 4.774 Å, α = 90.00°, β = 90.00° and γ = 90.00°. The asymmetric unit holds Pm at (0.000, 0.000, 0.000), Lu at (0.000, 0.500, 0.500) and Sn at (0.500, 0.500, 0.000).

=====

Entry 3:
CeMgI5: relaxed, PBE.

The crystal system is monoclinic. The raw formation energy is -1.15 eV per atom. The volume comes out at 51.1 A^3/atom. As for the total energy: -0.245 Ry/atom.

It has space group C2/c (No. 15), with a = 12.045 Å, b = 11.465 Å, c = 11.891 Å, α = 90.00°, β = 119.45° and γ = 90.00°. The asymmetric unit holds Ce at (0.250, 0.250, 0.000), Mg at (0.000, 0.135, 0.250), I at (0.000, 0.328, 0.750), I at (0.117, 0.295, 0.167) and I at (0.176, 0.017, 0.466).

=====

Entry 4:
Na4Ho3AsO8: relaxed, PBE.

The crystal system is trigonal. The raw formation energy is -2.40 eV per atom. The volume comes out at 13.6 A^3/atom. As for the total energy: -0.468 Ry/atom.

It has space group R-3m (No. 166, hexagonal axes), with a = 6.7287 Å, b = 6.7287 Å, c = 16.6982 Å, α = 90.00°, β = 90.00° and γ = 120.00°. The asymmetric unit holds Na at (0.0000, 0.0000, 0.0000), Na at (0.0000, 0.5000, 0.0000), Ho at (0.0000, 0.5000, 0.5000), As at (0.0000, 0.0000, 0.5000), O at (0.0000, 0.0000, 0.2367) and O at (0.0047, 0.5024, 0.2373).

=====

Entry 5:
Hf4TiFe2: relaxed, PBE.

Its calculated formation energy is 150 meV/atom. The crystal system is trigonal. The volume comes out at 19.5 A^3/atom. As for the total energy: -0.668 Ry/atom.

It has space group R-3m (No. 166, hexagonal axes), with a = 4.5665 Å, b = 4.5665 Å, c = 22.6430 Å, α = 90.00°, β = 90.00° and γ = 120.00°. The asymmetric unit holds Hf at (0.0000, 0.0000, 0.1109), Hf at (0.0000, 0.0000, 0.2954), Ti at (0.0000, 0.0000, 0.5000) and Fe at (0.0000, 0.0000, 0.4032).

=====

Entry 6:
SnSe2F5: relaxed, PBE.

The crystal system is triclinic. The raw formation energy is -1.70 eV per atom. The volume comes out at 19.6 A^3/atom. As for the total energy: -0.312 Ry/atom.

It has space group P1 (No. 1), with a = 4.175 Å, b = 6.478 Å, c = 6.601 Å, α = 70.65°, β = 72.86° and γ = 72.45°. The asymmetric unit holds Sn at (0.000, 0.000, 0.000), Se at (0.491, 0.468, 0.465), Se at (0.756, 0.610, 0.603), F at (0.133, 0.043, 0.681), F at (0.136, 0.673, 0.057), F at (0.495, 0.005, 0.004), F at (0.856, 0.966, 0.323) and F at (0.861, 0.333, 0.951).

=====

Entry 7:
NaLaP2O7: relaxed, PBE.

The crystal system is orthorhombic. The raw formation energy is -2.67 eV per atom. The volume comes out at 13.7 A^3/atom. As for the total energy: -0.542 Ry/atom.

It has space group Pnma (No. 62), with a = 8.769 Å, b = 5.359 Å, c = 12.848 Å, α = 90.00°, β = 90.00° and γ = 90.00°. The asymmetric unit holds Na at (0.123, 0.250, 0.077), La at (0.186, 0.250, 0.764), P at (0.014, 0.250, 0.317), P at (0.238, 0.750, 0.966), O at (0.070, 0.008, 0.263), O at (0.082, 0.250, 0.434), O at (0.158, 0.750, 0.677), O at (0.164, 0.514, 0.921) and O at (0.238, 0.750, 0.084).

=====

Entry 8:
CdAg5Hg2: relaxed, PBE.

Its calculated formation energy is 55 meV/atom. The crystal system is orthorhombic. The volume comes out at 19.8 A^3/atom. As for the total energy: -0.141 Ry/atom.

It has space group Immm (No. 71), with a = 3.004 Å, b = 9.217 Å, c = 11.424 Å, α = 90.00°, β = 90.00° and γ = 90.00°. The asymmetric unit holds Cd at (0.000, 0.000, 0.000), Ag at (0.000, 0.236, 0.376), Ag at (0.000, 0.500, 0.000) and Hg at (0.000, 0.500, 0.250).